Entry 1:
Computed, not measured: a relaxed structure of KAsPdI6 at the GGA-PBE level of DFT.

Size of the total moment   0.0 μB/cell
Energy relative to the elements, uncorrected   -0.42 eV/atom

Structure (CIF):
```
data_KAsPdI6
_chemical_formula_sum 'K2 As2 Pd2 I12'
_cell_length_a 8.0994
_cell_length_b 12.2748
_cell_length_c 7.7490
_cell_angle_alpha 90.00
_cell_angle_beta 97.95
_cell_angle_gamma 90.00
_symmetry_space_group_name_H-M 'C 1 2 1'
_symmetry_Int_Tables_number 5
loop_
_symmetry_equiv_pos_as_xyz
'x,y,z'
'-x,y,-z'
'x+1/2,y+1/2,z'
'-x+1/2,y+1/2,-z'
loop_
_atom_site_label
_atom_site_fract_x
_atom_site_fract_y
_atom_site_fract_z
K1 0.0000 0.0000 0.0000
As1 0.0000 0.6548 0.5000
Pd1 0.0000 0.3033 0.5000
I1 0.1188 0.4572 0.7220
I2 0.1631 0.7854 0.7553
I3 0.1938 0.1527 0.6722
```


Entry 2:
Computed, not measured: a relaxed structure of K2AsPtI at the GGA-PBE level of DFT.

Size of the total moment   0.0 μB/cell
Energy relative to the elements, uncorrected   -0.67 eV/atom

Structure (CIF):
```
data_K2AsPtI
_chemical_formula_sum 'K2 As1 Pt1 I1'
_cell_length_a 6.4593
_cell_length_b 6.4593
_cell_length_c 4.5568
_cell_angle_alpha 90.00
_cell_angle_beta 90.00
_cell_angle_gamma 90.00
_symmetry_space_group_name_H-M 'P 4/m m m'
_symmetry_Int_Tables_number 123
_symmetry_space_group_name_Hall '-P 4 2'
loop_
_atom_site_label
_atom_site_fract_x
_atom_site_fract_y
_atom_site_fract_z
K1 0.0000 0.5000 0.0000
As1 0.0000 0.0000 0.5000
Pt1 0.0000 0.0000 0.0000
I1 0.5000 0.5000 0.5000
```


Entry 3:
Computed, not measured: a relaxed structure of KSbAsI2 at the GGA-PBE level of DFT.

Size of the total moment   2.7 μB/cell
Energy relative to the elements, uncorrected   0.23 eV/atom
Energy above the most stable polymorph in this dataset   0.429 eV per atom

Structure (CIF):
```
data_KSbAsI2
_chemical_formula_sum 'K1 Sb1 As1 I2'
_cell_length_a 6.0993
_cell_length_b 6.0993
_cell_length_c 6.8727
_cell_angle_alpha 90.00
_cell_angle_beta 90.00
_cell_angle_gamma 90.00
_symmetry_space_group_name_H-M 'P 4/m m m'
_symmetry_Int_Tables_number 123
_symmetry_space_group_name_Hall '-P 4 2'
loop_
_atom_site_label
_atom_site_fract_x
_atom_site_fract_y
_atom_site_fract_z
K1 0.0000 0.0000 0.0000
Sb1 0.0000 0.0000 0.5000
As1 0.5000 0.5000 0.0000
I1 0.0000 0.5000 0.5000
```


Entry 4:
Computed, not measured: a relaxed structure of KSb2AsI at the GGA-PBE level of DFT.

Size of the total moment   0.0 μB/cell
Energy relative to the elements, uncorrected   0.08 eV/atom
Energy above the most stable polymorph in this dataset   0.000 eV per atom

Structure (CIF):
```
data_KSb2AsI
_chemical_formula_sum 'K1 Sb2 As1 I1'
_cell_length_a 5.2875
_cell_length_b 5.2875
_cell_length_c 8.7709
_cell_angle_alpha 90.00
_cell_angle_beta 90.00
_cell_angle_gamma 90.00
_symmetry_space_group_name_H-M 'P 4/m m m'
_symmetry_Int_Tables_number 123
_symmetry_space_group_name_Hall '-P 4 2'
loop_
_atom_site_label
_atom_site_fract_x
_atom_site_fract_y
_atom_site_fract_z
K1 0.0000 0.0000 0.0000
Sb1 0.0000 0.5000 0.5000
As1 0.5000 0.5000 0.5000
I1 0.5000 0.5000 0.0000
```


Entry 5:
Computed, not measured: a relaxed structure of KSbAsI2 at the GGA-PBE level of DFT.

Size of the total moment   0.6 μB/cell
Energy relative to the elements, uncorrected   -0.20 eV/atom
Energy above the most stable polymorph in this dataset   0.000 eV per atom

Structure (CIF):
```
data_KSbAsI2
_chemical_formula_sum 'K1 Sb1 As1 I2'
_cell_length_a 6.1374
_cell_length_b 6.1374
_cell_length_c 5.3353
_cell_angle_alpha 90.00
_cell_angle_beta 90.00
_cell_angle_gamma 90.00
_symmetry_space_group_name_H-M 'P 4/m m m'
_symmetry_Int_Tables_number 123
_symmetry_space_group_name_Hall '-P 4 2'
loop_
_atom_site_label
_atom_site_fract_x
_atom_site_fract_y
_atom_site_fract_z
K1 0.0000 0.0000 0.0000
Sb1 0.5000 0.5000 0.0000
As1 0.5000 0.5000 0.5000
I1 0.0000 0.5000 0.5000
```


Entry 6:
Computed, not measured: a relaxed structure of KSbAsI2 at the GGA-PBE level of DFT.

Size of the total moment   5.0 μB/cell
Energy relative to the elements, uncorrected   0.76 eV/atom
Energy above the most stable polymorph in this dataset   0.956 eV per atom

Structure (CIF):
```
data_KSbAsI2
_chemical_formula_sum 'K1 Sb1 As1 I2'
_cell_length_a 6.6251
_cell_length_b 6.6251
_cell_length_c 6.8893
_cell_angle_alpha 90.00
_cell_angle_beta 90.00
_cell_angle_gamma 90.00
_symmetry_space_group_name_H-M 'P 4/m m m'
_symmetry_Int_Tables_number 123
_symmetry_space_group_name_Hall '-P 4 2'
loop_
_atom_site_label
_atom_site_fract_x
_atom_site_fract_y
_atom_site_fract_z
K1 0.0000 0.0000 0.0000
Sb1 0.0000 0.0000 0.5000
As1 0.5000 0.5000 0.5000
I1 0.0000 0.5000 0.0000
```


Entry 7:
Computed, not measured: a relaxed structure of KSb2AsI at the GGA-PBE level of DFT.

Size of the total moment   9.0 μB/cell
Energy relative to the elements, uncorrected   1.22 eV/atom
Energy above the most stable polymorph in this dataset   1.142 eV per atom

Structure (CIF):
```
data_KSb2AsI
_chemical_formula_sum 'K1 Sb2 As1 I1'
_cell_length_a 8.0705
_cell_length_b 8.0705
_cell_length_c 6.5486
_cell_angle_alpha 90.00
_cell_angle_beta 90.00
_cell_angle_gamma 90.00
_symmetry_space_group_name_H-M 'P 4/m m m'
_symmetry_Int_Tables_number 123
_symmetry_space_group_name_Hall '-P 4 2'
loop_
_atom_site_label
_atom_site_fract_x
_atom_site_fract_y
_atom_site_fract_z
K1 0.0000 0.0000 0.0000
Sb1 0.0000 0.5000 0.0000
As1 0.5000 0.5000 0.5000
I1 0.0000 0.0000 0.5000
```


Entry 8:
Computed, not measured: a relaxed structure of KSn2AsI8 at the GGA-PBE level of DFT.

Size of the total moment   0.0 μB/cell
Energy relative to the elements, uncorrected   -0.50 eV/atom

Structure (CIF):
```
data_KSn2AsI8
_chemical_formula_sum 'K1 Sn2 As1 I8'
_cell_length_a 7.2661
_cell_length_b 7.6274
_cell_length_c 9.4353
_cell_angle_alpha 89.95
_cell_angle_beta 89.91
_cell_angle_gamma 88.46
_symmetry_space_group_name_H-M 'P -1'
_symmetry_Int_Tables_number 2
loop_
_symmetry_equiv_pos_as_xyz
'x,y,z'
'-x,-y,-z'
loop_
_atom_site_label
_atom_site_fract_x
_atom_site_fract_y
_atom_site_fract_z
K1 0.0000 0.0000 0.0000
Sn1 0.4996 0.4999 0.2573
As1 0.0000 0.0000 0.5000
I1 0.2304 0.3132 0.5001
I2 0.2382 0.8421 0.7135
I3 0.2389 0.8428 0.2862
I4 0.2757 0.3626 0.0005
```


One value per record, in order, for E: -2.669; -3.562; -2.363; -3.033; -2.792; -1.835; -1.891; -2.677 eV/atom.